Entry 1:
La5Nd3Tl3 after structural relaxation, computed with PBE-GGA.

Output
- magnetic moment (Bohr magnetons per cell) = 0.00
- energy relative to the elements (eV per atom) = 0.096
- E_tot (eV/atom) = -4.09

Unit cell a=11.1782 b=11.1782 c=3.5393 alpha=90.00 beta=90.00 gamma=120.00
Atoms (fractional coordinates):
La (0.0000, 0.3423, 0.0000)
La (0.3333, 0.6667, 0.0000)
La (0.3423, 0.0000, 0.0000)
La (0.6577, 0.6577, 0.0000)
La (0.6667, 0.3333, 0.0000)
Nd (0.0000, 0.8310, 0.0000)
Nd (0.1690, 0.1690, 0.0000)
Nd (0.8310, 0.0000, 0.0000)
Tl (0.0000, 0.5882, 0.5000)
Tl (0.4118, 0.4118, 0.5000)
Tl (0.5882, 0.0000, 0.5000)

=====

Entry 2:
HfPa2Be after structural relaxation, computed with PBE-GGA.

Output
- magnetic moment (Bohr magnetons per cell) = 0.00
- energy relative to the elements (eV per atom) = 0.256
- E_tot (eV/atom) = -7.91

Unit cell a=3.4226 b=3.4226 c=7.2686 alpha=90.00 beta=90.00 gamma=90.00
Atoms (fractional coordinates):
Hf (0.0000, 0.0000, 0.0000)
Pa (0.5000, 0.5000, 0.3075)
Pa (0.5000, 0.5000, 0.6925)
Be (0.0000, 0.0000, 0.5000)

=====

Entry 3:
Ta2Ti4NbMo2 after structural relaxation, computed with PBE-GGA.

Output
- magnetic moment (Bohr magnetons per cell) = 0.00
- energy relative to the elements (eV per atom) = -0.061
- E_tot (eV/atom) = -9.73

Unit cell a=5.3454 b=5.3780 c=5.3788 alpha=94.19 beta=93.94 gamma=94.08
Atoms (fractional coordinates):
Ta (0.0974, 0.4406, 0.2603)
Ta (0.9026, 0.5594, 0.7397)
Ti (0.2433, 0.9078, 0.0580)
Ti (0.4427, 0.7572, 0.5919)
Ti (0.5573, 0.2428, 0.4081)
Ti (0.7567, 0.0922, 0.9420)
Nb (0.0000, 0.0000, 0.5000)
Mo (0.3327, 0.3361, 0.8344)
Mo (0.6673, 0.6639, 0.1656)

=====

Entry 4:
SiRhBr2 after structural relaxation, computed with PBE-GGA.

Output
- magnetic moment (Bohr magnetons per cell) = 0.00
- energy relative to the elements, uncorrected (eV per atom) = -0.189
- relative energy among the computed polymorphs (meV/atom) = 0.0
- E_tot (eV/atom) = -4.22

Unit cell a=5.0186 b=3.6276 c=5.4032 alpha=90.00 beta=114.30 gamma=90.00
Atoms (fractional coordinates):
Si (0.0000, 0.0000, 0.0000)
Rh (0.9075, 0.5000, 0.7190)
Br (0.3694, 0.5000, 0.6252)
Br (0.6957, 0.0000, 0.2579)